(1)
First-principles (PBE-GGA) data for an optimized crystal structure of Pr2UMn2C4, as listed in the Alexandria database.

The structure in POSCAR format:
```
Pr2UMn2C4
1.0
6.600 -1.721 0.000
6.600 1.721 0.000
-1.918 0.000 5.768
Pr U Mn C
2 1 2 4
Direct
0.136 0.136 0.045 Pr
0.864 0.864 0.955 Pr
0.000 0.000 0.500 U
0.315 0.315 0.497 Mn
0.685 0.685 0.503 Mn
0.216 0.216 0.678 C
0.459 0.459 0.717 C
0.541 0.541 0.283 C
0.784 0.784 0.322 C
```

Values from the calculation:
- Energy of formation: -0.041 eV/atom

=====

(2)
First-principles (PBE-GGA) data for an optimized crystal structure of AlPPtCl2, as listed in the Alexandria database.

The structure in POSCAR format:
```
AlPPtCl2
1.0
4.396 0.000 0.000
0.000 4.396 0.000
0.000 0.000 5.236
Al P Pt Cl
1 1 1 2
Direct
0.000 0.000 0.000 Al
0.000 0.000 0.500 P
0.500 0.500 0.500 Pt
0.000 0.500 0.000 Cl
0.500 0.000 0.000 Cl
```

Values from the calculation:
- Energy above the most stable polymorph in this dataset: 0.390 eV/f.u.

=====

(3)
First-principles (PBE-GGA) data for an optimized crystal structure of La2DyTi, as listed in the Alexandria database.

The structure in POSCAR format:
```
La2DyTi
1.0
3.561 0.000 0.000
0.000 3.561 0.000
0.000 0.000 9.355
La Dy Ti
2 1 1
Direct
0.000 0.000 0.225 La
0.000 0.000 0.775 La
0.500 0.500 0.500 Dy
0.500 0.500 0.000 Ti
```

Values from the calculation:
- Energy of formation: 0.200 eV/atom
- Energy above the most stable polymorph in this dataset: 0.000 eV/f.u.

=====

(4)
First-principles (PBE-GGA) data for an optimized crystal structure of LaNdSm2Er5, as listed in the Alexandria database.

The structure in POSCAR format:
```
LaNdSm2Er5
1.0
-4.367 4.367 7.744
4.367 -4.367 7.744
4.367 4.367 -7.744
La Nd Sm Er
2 2 4 10
Direct
0.250 0.250 0.000 La
0.750 0.750 0.000 La
0.250 0.750 0.500 Nd
0.750 0.250 0.500 Nd
0.117 0.617 0.734 Sm
0.383 0.117 0.500 Sm
0.617 0.883 0.500 Sm
0.883 0.383 0.266 Sm
0.000 0.000 0.000 Er
0.073 0.158 0.500 Er
0.158 0.658 0.085 Er
0.342 0.427 0.500 Er
0.427 0.927 0.085 Er
0.500 0.500 0.000 Er
0.573 0.073 0.915 Er
0.658 0.573 0.500 Er
0.842 0.342 0.915 Er
0.927 0.842 0.500 Er
```

Values from the calculation:
- Energy of formation: 0.252 eV/atom